No. 1
VASP calculation (PBE) on crystalline Hf4TlHgN2 at its relaxed geometry.

```
Hf4TlHgN2
1.0
-0.1445 3.1193 -1.0082
-2.7607 -1.6216 0.7185
0.9451 4.4995 13.7859
Hf Hg N Tl
4 1 2 1
Direct
0.3333 0.6667 0.1643
0.0000 0.0000 0.3305
0.0000 0.0000 0.6695
0.3333 0.6667 0.8357
0.0000 0.0000 0.0000
0.6667 0.3333 0.2460
0.6667 0.3333 0.7540
0.3333 0.6667 0.5000
```

Calculated values
total DFT energy (no corrections)	-8.349	eV/atom
SG	No. 187

No. 2
VASP calculation (PBE) on crystalline HfZrHgN at its relaxed geometry.

```
HfZrHgN
1.0
3.3096 0.0000 0.0000
-1.6548 2.8662 0.0000
0.0000 0.0000 14.4832
Hf Hg N Zr
2 2 2 2
Direct
0.3333 0.6667 0.1657
0.3333 0.6667 0.8343
0.0000 0.0000 0.0000
0.3333 0.6667 0.5000
0.6667 0.3333 0.2447
0.6667 0.3333 0.7553
0.0000 0.0000 0.3323
0.0000 0.0000 0.6677
```

Calculated values
total DFT energy (no corrections)	-7.781	eV/atom
SG	No. 187
energy above the most stable polymorph in this dataset	0	meV per atom

No. 3
VASP calculation (PBE) on crystalline HfZr3Hg2N2 at its relaxed geometry.

```
HfZr3Hg2N2
1.0
-0.3549 2.5959 -2.0459
-2.1362 -2.5423 -0.1546
-8.5043 6.5510 9.7869
Hf Hg N Zr
1 2 2 3
Direct
0.0000 0.0000 0.9172
0.0000 0.0000 0.2496
0.6667 0.3333 0.7525
0.3333 0.6667 0.5008
0.3333 0.6667 0.9957
0.6667 0.3333 0.0826
0.6667 0.3333 0.4171
0.0000 0.0000 0.5846
```

Calculated values
total DFT energy (no corrections)	-7.605	eV/atom
SG	No. 156

No. 4
VASP calculation (PBE) on crystalline HfZrHgN at its relaxed geometry.

```
HfZrHgN
1.0
3.3098 0.0000 0.0000
-1.6549 2.8664 0.0000
0.0000 0.0000 14.4806
Hf Hg N Zr
2 2 2 2
Direct
0.6667 0.3333 0.0822
0.3333 0.6667 0.9178
0.3333 0.6667 0.2475
0.6667 0.3333 0.7525
0.0000 0.0000 0.0000
0.0000 0.0000 0.5000
0.6667 0.3333 0.4156
0.3333 0.6667 0.5844
```

Calculated values
total DFT energy (no corrections)	-7.775	eV/atom
SG	No. 164
energy above the most stable polymorph in this dataset	6	meV per atom

Size of the total moment per entry: 0.00, 0.00, 0.00, 0.01 μB/cell